[1]
Pt2WSe6 PBE-GGA optimized geometry; calculated total energy = -5.362 eV/atom; theoretical density = 7.78 Mg/m³; formation energy from raw total energies = -257.1 meV/atom
1.0
8.1054 -1.8255 0.0000
8.1054 1.8255 0.0000
-1.9958 0.0000 7.5590
Pt W Se
2 1 6
Direct
0.1660 0.1660 0.3357
0.8340 0.8340 0.6643
0.5000 0.5000 0.0000
0.0020 0.0020 0.2371
0.3268 0.3268 0.4392
0.3358 0.3358 0.8915
0.6642 0.6642 0.1085
0.6732 0.6732 0.5608
0.9980 0.9980 0.7629

***

[2]
PtWSe PBE-GGA optimized geometry; distance to the lowest polymorph of the same formula = 1.077 eV/f.u.; calculated total energy = -7.193 eV/atom; theoretical density = 15.15 Mg/m³; formation energy from raw total energies = 300.2 meV/atom
1.0
4.2647 0.0000 0.0000
-2.1323 3.6933 0.0000
0.0000 0.0000 3.1859
Pt W Se
1 1 1
Direct
0.0000 0.0000 0.0000
0.6667 0.3333 0.5000
0.3333 0.6667 0.5000

***

[3]
PtWSe PBE-GGA optimized geometry; distance to the lowest polymorph of the same formula = 1.900 eV/f.u.; calculated total energy = -6.918 eV/atom; theoretical density = 14.38 Mg/m³; formation energy from raw total energies = 574.6 meV/atom
1.0
0.0000 2.9792 2.9792
2.9792 0.0000 2.9792
2.9792 2.9792 0.0000
Pt W Se
1 1 1
Direct
0.0000 0.0000 0.0000
0.5000 0.5000 0.5000
0.2500 0.2500 0.2500

***

[4]
PtWSe2 PBE-GGA optimized geometry; distance to the lowest polymorph of the same formula = 0.222 eV/f.u.; calculated total energy = -6.499 eV/atom; theoretical density = 9.40 Mg/m³; formation energy from raw total energies = -8.1 meV/atom
1.0
6.6345 -1.5202 0.0000
6.6345 1.5202 0.0000
-0.4859 0.0000 4.7020
Pt W Se
1 1 2
Direct
0.0000 0.0000 0.0000
0.5000 0.5000 0.5000
0.1438 0.1438 0.6980
0.8562 0.8562 0.3020

***

[5]
PtWSe2 PBE-GGA optimized geometry; distance to the lowest polymorph of the same formula = 1.319 eV/f.u.; calculated total energy = -6.225 eV/atom; theoretical density = 12.01 Mg/m³; formation energy from raw total energies = 266.0 meV/atom
1.0
-1.5418 1.9606 6.1385
1.5418 -1.9606 6.1385
1.5418 1.9606 -6.1385
Pt W Se
1 1 2
Direct
0.0000 0.0000 0.0000
0.7912 0.2912 0.5000
0.3562 0.8562 0.5000
0.6270 0.6270 0.0000

***

[6]
PtWSe PBE-GGA optimized geometry; distance to the lowest polymorph of the same formula = 0.356 eV/f.u.; calculated total energy = -7.433 eV/atom; theoretical density = 14.72 Mg/m³; formation energy from raw total energies = 59.8 meV/atom
1.0
3.0308 0.0000 0.0000
-1.5154 2.6247 0.0000
0.0000 0.0000 6.4929
Pt W Se
1 1 1
Direct
0.0000 0.0000 0.0000
0.3333 0.6667 0.6766
0.6667 0.3333 0.3925